No. 1
8
Lattice="-3.8238 3.8238 3.1966 3.8238 -3.8238 3.1966 3.8238 3.8238 -3.1966" Properties=species:S:1:pos:R:3 comment="P2ICl PBE optimized geometry" formation_energy_uncorrected_mev_per_atom=906 n_ef_per_ev_atom=0.8495 de_polymorph_mev_per_atom=0 sg=I-42d dft_energy_ev_per_cell=-21.19 pbc="T T T"
P 5.7356 1.8900 -0.7991
P 1.8900 1.9119 0.7991
P -1.9119 1.9338 2.3974
P 1.9338 1.9119 3.9957
I 3.8238 0.0000 1.5983
I 0.0000 0.0000 3.1966
Cl 0.0000 0.0000 0.0000
Cl 0.0000 3.8238 1.5983



No. 2
5
Lattice="5.1952 0.0000 0.0000 0.0000 5.1952 0.0000 0.0000 0.0000 5.1952" Properties=species:S:1:pos:R:3 comment="P3ICl PBE optimized geometry" formation_energy_uncorrected_mev_per_atom=1646 n_ef_per_ev_atom=0.9796 de_polymorph_mev_per_atom=167 sg=Pm-3m dft_energy_ev_per_cell=-11.40 pbc="T T T"
P 0.0000 0.0000 2.5976
P 0.0000 2.5976 0.0000
P 2.5976 0.0000 0.0000
I 0.0000 0.0000 0.0000
Cl 2.5976 2.5976 2.5976



No. 3
8
Lattice="-5.2872 6.5349 3.3059 5.2872 -6.5349 3.3059 5.2872 6.5349 -3.3059" Properties=species:S:1:pos:R:3 comment="PI3Cl4 PBE optimized geometry" formation_energy_uncorrected_mev_per_atom=-342 sg=Imm2 dft_energy_ev_per_cell=-20.19 pbc="T T T"
P 0.0000 0.0000 0.0000
I 5.2872 2.9263 -0.3675
I 0.0000 3.6086 2.9384
I 0.0000 6.5349 3.0600
Cl 3.6675 6.5349 -2.1522
Cl 1.6197 0.0000 1.1537
Cl 5.2872 4.9064 2.1206
Cl 0.0000 1.6285 5.4265



No. 4
8
Lattice="-3.7419 3.7419 5.3151 3.7419 -3.7419 5.3151 3.7419 3.7419 -5.3151" Properties=species:S:1:pos:R:3 comment="PICl2 PBE optimized geometry" formation_energy_uncorrected_mev_per_atom=222 n_ef_per_ev_atom=2.9060 de_polymorph_mev_per_atom=690 sg=I4_1/amd dft_energy_ev_per_cell=-19.53 pbc="T T T"
P 3.7419 1.8709 1.3288
P 0.0000 1.8709 3.9863
I 3.7419 -1.8709 3.9863
I 0.0000 5.6128 1.3288
Cl 3.7419 0.0000 0.0000
Cl -1.8709 1.8709 2.6576
Cl 0.0000 0.0000 5.3151
Cl 1.8709 1.8709 2.6576



No. 5
4
Lattice="1.6804 0.9702 12.0619 -1.6804 0.9702 12.0619 0.0000 -1.9404 12.0619" Properties=species:S:1:pos:R:3 comment="PICl2 PBE optimized geometry" formation_energy_uncorrected_mev_per_atom=175 n_ef_per_ev_atom=0.5345 de_polymorph_mev_per_atom=642 sg=R-3m dft_energy_ev_per_cell=-9.95 pbc="T T T"
P 0.0000 0.0000 0.0000
I 0.0000 0.0000 18.0928
Cl 0.0000 0.0000 2.1417
Cl 0.0000 0.0000 34.0439



No. 6
5
Lattice="4.7796 0.0000 0.0000 0.0000 4.7796 0.0000 0.0000 0.0000 8.1580" Properties=species:S:1:pos:R:3 comment="P2I2Cl PBE optimized geometry" formation_energy_uncorrected_mev_per_atom=1054 n_ef_per_ev_atom=0.8775 sg=P4/mmm dft_energy_ev_per_cell=-10.50 pbc="T T T"
P 0.0000 2.3898 0.0000
P 2.3898 0.0000 0.0000
I 0.0000 0.0000 4.0790
I 2.3898 2.3898 4.0790
Cl 0.0000 0.0000 0.0000



No. 7
18
Lattice="8.5405 0.0000 0.0000 3.0216 9.1091 0.0000 4.0274 -0.7307 11.1679" Properties=species:S:1:pos:R:3 comment="P2I4Cl3 PBE optimized geometry" formation_energy_uncorrected_mev_per_atom=-269 n_ef_per_ev_atom=0.0000 sg=P-1 dft_energy_ev_per_cell=-49.96 pbc="T T T"
P 4.0024 3.2474 4.4510
P 7.9708 7.8943 10.7048
P 7.6186 0.4841 0.4631
P 11.5871 5.1310 6.7170
I 2.4307 1.4147 5.0647
I 5.3400 7.4008 1.1850
I 6.3318 0.4582 9.5290
I 6.0958 2.6108 5.5938
I 9.4937 5.7676 5.5741
I 9.2577 7.9203 1.6390
I 10.2495 0.9776 9.9829
I 13.1587 6.9637 6.1032
Cl 7.0669 6.6363 9.3984
Cl 4.4037 2.8299 2.4527
Cl 7.2957 6.2165 2.7791
Cl 8.2937 2.1619 8.3888
Cl 11.1858 5.5485 8.7152
Cl 8.5226 1.7421 1.7696



No. 8
4
Lattice="5.2862 0.0000 0.0000 -0.7347 5.9295 0.0000 -2.2998 -2.8712 5.8548" Properties=species:S:1:pos:R:3 comment="PICl2 PBE optimized geometry" formation_energy_uncorrected_mev_per_atom=-468 n_ef_per_ev_atom=0.0000 de_polymorph_mev_per_atom=0 sg=P1 dft_energy_ev_per_cell=-12.52 pbc="T T T"
P 0.0000 0.0000 0.0000
I 0.4475 2.4551 0.0030
Cl 0.9593 2.8699 4.2548
Cl 3.9920 -0.1909 1.5985



No. 9
22
Lattice="10.3585 -4.4373 0.0000 10.3585 4.4373 0.0000 -8.0742 0.0000 10.2030" Properties=species:S:1:pos:R:3 comment="P2ICl8 PBE optimized geometry" formation_energy_uncorrected_mev_per_atom=-507 n_ef_per_ev_atom=0.0906 sg=C2/c dft_energy_ev_per_cell=-65.44 pbc="T T T"
P 1.2175 0.0647 3.1698
P -2.8197 -0.0647 8.2713
P 15.4624 0.0647 1.9317
P 11.4253 -0.0647 7.0332
I 8.3399 0.0906 2.5508
I 4.3028 -0.0906 7.6523
Cl 4.6011 2.7576 2.9012
Cl 1.7310 3.2119 8.6085
Cl -4.5933 0.4586 9.1705
Cl -0.5562 -0.4586 4.0690
Cl 6.8746 3.2119 6.6960
Cl 3.0483 0.4879 5.5746
Cl 12.0788 2.7576 2.2003
Cl 7.0854 -0.4879 0.4731
Cl 5.5573 0.4879 9.7299
Cl 0.5640 -2.7576 8.0027
Cl 9.5945 -0.4879 4.6284
Cl 5.7682 -3.2119 3.5070
Cl 13.1989 0.4586 6.1340
Cl 17.2360 -0.4586 1.0325
Cl 10.9117 -3.2119 1.5945
Cl 8.0417 -2.7576 7.3018



No. 10
5
Lattice="5.5471 0.0000 0.0000 0.0000 5.5471 0.0000 0.0000 0.0000 5.6620" Properties=species:S:1:pos:R:3 comment="PPbICl2 PBE optimized geometry" formation_energy_uncorrected_mev_per_atom=443 n_ef_per_ev_atom=0.7158 de_polymorph_mev_per_atom=306 sg=P4/mmm dft_energy_ev_per_cell=-12.15 pbc="T T T"
P 0.0000 0.0000 0.0000
Pb 2.7735 2.7735 0.0000
I 0.0000 0.0000 2.8310
Cl 0.0000 2.7735 2.8310
Cl 2.7735 0.0000 2.8310



No. 11
5
Lattice="5.5539 0.0000 0.0000 0.0000 5.5539 0.0000 0.0000 0.0000 5.3457" Properties=species:S:1:pos:R:3 comment="P2PbICl PBE optimized geometry" formation_energy_uncorrected_mev_per_atom=776 n_ef_per_ev_atom=1.0066 de_polymorph_mev_per_atom=0 sg=P4/mmm dft_energy_ev_per_cell=-14.04 pbc="T T T"
P 0.0000 2.7770 0.0000
P 2.7770 0.0000 0.0000
Pb 0.0000 0.0000 0.0000
I 2.7770 2.7770 2.6728
Cl 0.0000 0.0000 2.6728



No. 12
5
Lattice="5.2669 0.0000 0.0000 0.0000 5.2669 0.0000 0.0000 0.0000 5.8990" Properties=species:S:1:pos:R:3 comment="PPbICl2 PBE optimized geometry" formation_energy_uncorrected_mev_per_atom=136 n_ef_per_ev_atom=0.4606 de_polymorph_mev_per_atom=0 sg=P4/mmm dft_energy_ev_per_cell=-13.68 pbc="T T T"
P 0.0000 0.0000 0.0000
Pb 0.0000 0.0000 2.9495
I 2.6335 2.6335 0.0000
Cl 0.0000 2.6335 2.9495
Cl 2.6335 0.0000 2.9495